Record 1
## SmMgScAu (PBE-GGA)

Data for a geometry-optimized SmMgScAu structure.

Cell and atoms, written as POSCAR:
```
SmMgScAu
1.0
0.000 3.614 3.614
3.614 0.000 3.614
3.614 3.614 0.000
Sm Mg Sc Au
1 1 1 1
direct
0.000 0.000 0.000
0.250 0.250 0.250
0.500 0.500 0.500
0.750 0.750 0.750
```

## Properties
**Total energy**: -0.1597 Ha/atom
**Symmetry**: F-43m


Record 2
## MgScSnAu (PBE-GGA)

Data for a geometry-optimized MgScSnAu structure.

Cell and atoms, written as POSCAR:
```
MgScSnAu
1.0
4.054 0.000 0.000
0.000 4.383 0.000
0.000 0.000 4.613
Mg Sc Sn Au
1 1 1 1
direct
0.000 0.000 0.000
0.000 0.500 0.500
0.500 0.000 0.500
0.500 0.500 0.000
```

## Properties
**Total energy**: -0.1607 Ha/atom
**Symmetry**: Pmmm


Record 3
## MgSc2SnAu (PBE-GGA)

Data for a geometry-optimized MgSc2SnAu structure.

Cell and atoms, written as POSCAR:
```
MgSc2SnAu
1.0
5.179 0.000 0.000
0.000 5.179 0.000
0.000 0.000 4.972
Mg Sc Sn Au
1 2 1 1
direct
0.000 0.000 0.000
0.000 0.500 0.500
0.500 0.000 0.500
0.500 0.500 0.000
0.000 0.000 0.500
```

## Properties
**Total energy**: -0.1638 Ha/atom
**Symmetry**: P4/mmm


Record 4
## MgSc2SnAu4 (PBE-GGA)

Data for a geometry-optimized MgSc2SnAu4 structure.

Cell and atoms, written as POSCAR:
```
MgSc2SnAu4
1.0
2.386 1.377 7.871
-2.386 1.377 7.871
0.000 -2.755 7.871
Mg Sc Sn Au
1 2 1 4
direct
0.000 0.000 0.000
0.247 0.247 0.247
0.753 0.753 0.753
0.500 0.500 0.500
0.118 0.118 0.118
0.368 0.368 0.368
0.632 0.632 0.632
0.882 0.882 0.882
```

## Properties
**Total energy**: -0.1694 Ha/atom
**Symmetry**: R-3m


Record 5
## MgScSnAu (PBE-GGA)

Data for a geometry-optimized MgScSnAu structure.

Cell and atoms, written as POSCAR:
```
MgScSnAu
1.0
0.000 3.464 3.464
3.464 0.000 3.464
3.464 3.464 0.000
Mg Sc Sn Au
1 1 1 1
direct
0.000 0.000 0.000
0.500 0.500 0.500
0.750 0.750 0.750
0.250 0.250 0.250
```

## Properties
**Total energy**: -0.1595 Ha/atom
**Symmetry**: F-43m


Record 6
## SrMg2ScAu4 (PBE-GGA)

Data for a geometry-optimized SrMg2ScAu4 structure.

Cell and atoms, written as POSCAR:
```
SrMg2ScAu4
1.0
2.367 1.366 9.030
-2.367 1.366 9.030
0.000 -2.733 9.030
Sr Mg Sc Au
1 2 1 4
direct
0.000 0.000 0.000
0.239 0.239 0.239
0.761 0.761 0.761
0.500 0.500 0.500
0.130 0.130 0.130
0.398 0.398 0.398
0.602 0.602 0.602
0.870 0.870 0.870
```

## Properties
**Total energy**: -0.1368 Ha/atom
**Symmetry**: R-3m


Q: Which of these has the highest total energy?
A: SrMg2ScAu4